Compound: MgScBi2
Source: Alexandria via LeMat-Bulk
Functional: PBE-GGA
Structure: optimized geometry

Lattice parameters (Å, degrees): 3.994 3.994 6.623 90.00 90.00 90.00
Sites, in units of the cell vectors:
Mg1 0.000 0.000 0.000
Sc1 0.000 0.000 0.500
Bi1 0.500 0.500 0.259
Bi2 0.500 0.500 0.741

Values from the calculation:
- Density: 7.660 g/cm3
- Energy of formation from the pure elements: -0.312 eV/atom
- Uncorrected energy: -16.9 eV for the cell shown

***

Compound: MgSc2Bi
Source: Alexandria via LeMat-Bulk
Functional: PBE-GGA
Structure: optimized geometry

Lattice parameters (Å, degrees): 11.135 11.135 11.135 17.49 17.49 17.49
Sites, in units of the cell vectors:
Mg1 0.000 0.000 0.000
Sc1 0.408 0.408 0.408
Sc2 0.592 0.592 0.592
Bi1 0.500 0.500 0.500

Values from the calculation:
- Density: 4.933 g/cm3
- Energy of formation from the pure elements: 0.114 eV/atom
- Uncorrected energy: -17.7 eV for the cell shown

***

Compound: Mg3Sc4Bi
Source: Alexandria via LeMat-Bulk
Functional: PBE-GGA
Structure: optimized geometry

Lattice parameters (Å, degrees): 8.824 8.824 8.824 33.54 33.54 33.54
Sites, in units of the cell vectors:
Mg1 0.000 0.000 0.000
Mg2 0.255 0.255 0.255
Mg3 0.745 0.745 0.745
Sc1 0.124 0.124 0.124
Sc2 0.374 0.374 0.374
Sc3 0.626 0.626 0.626
Sc4 0.876 0.876 0.876
Bi1 0.500 0.500 0.500

Values from the calculation:
- Density: 4.106 g/cm3
- Energy of formation from the pure elements: -0.171 eV/atom
- Uncorrected energy: -35.4 eV for the cell shown

***

Compound: MgSc2Bi
Source: Alexandria via LeMat-Bulk
Functional: PBE-GGA
Structure: optimized geometry

Lattice parameters (Å, degrees): 6.944 6.944 6.944 37.67 37.67 37.67
Sites, in units of the cell vectors:
Mg1 0.000 0.000 0.000
Sc1 0.239 0.239 0.239
Sc2 0.423 0.423 0.423
Bi1 0.831 0.831 0.831

Values from the calculation:
- Density: 4.784 g/cm3
- Energy of formation from the pure elements: -0.090 eV/atom
- Uncorrected energy: -18.5 eV for the cell shown

***

Compound: MgScBi2Se
Source: Alexandria via LeMat-Bulk
Functional: PBE-GGA
Structure: optimized geometry

Lattice parameters (Å, degrees): 5.288 5.288 5.532 90.00 90.00 90.00
Sites, in units of the cell vectors:
Mg1 0.000 0.000 0.000
Sc1 0.000 0.000 0.500
Bi1 0.000 0.500 0.000
Bi2 0.500 0.000 0.000
Se1 0.500 0.500 0.500

Values from the calculation:
- Density: 6.077 g/cm3
- Uncorrected formation energy: 0.500 eV/atom
- Uncorrected energy: -16.7 eV for the cell shown

***

Compound: Tb2MgScBi4
Source: Alexandria via LeMat-Bulk
Functional: PBE-GGA
Structure: optimized geometry

Lattice parameters (Å, degrees): 7.582 4.387 7.749 90.00 109.79 90.00
Sites, in units of the cell vectors:
Tb1 0.000 0.000 0.000
Tb2 0.000 0.500 0.500
Mg1 0.500 0.000 0.500
Sc1 0.500 0.500 0.000
Bi1 0.264 0.000 0.758
Bi2 0.266 0.500 0.253
Bi3 0.734 0.500 0.747
Bi4 0.736 0.000 0.242

Values from the calculation:
- Density: 8.374 g/cm3
- Energy of formation from the pure elements: -0.572 eV/atom
- Uncorrected energy: -37.3 eV for the cell shown

***

Compound: MgBi2Se2
Source: Alexandria via LeMat-Bulk
Functional: PBE-GGA
Structure: optimized geometry

Lattice parameters (Å, degrees): 8.728 8.728 8.728 151.64 151.64 40.54
Sites, in units of the cell vectors:
Mg1 0.000 0.000 0.000
Bi1 0.250 0.750 0.500
Bi2 0.750 0.250 0.500
Se1 0.419 0.419 0.000
Se2 0.581 0.581 0.000

Values from the calculation:
- Density: 6.658 g/cm3
- Uncorrected formation energy: 0.082 eV/atom
- Distance to the lowest polymorph of the same formula: 395 meV/atom
- Uncorrected energy: -15.9 eV for the cell shown

***

Compound: MgBi2Se2
Source: Alexandria via LeMat-Bulk
Functional: PBE-GGA
Structure: optimized geometry

Lattice parameters (Å, degrees): 7.049 7.049 5.785 90.00 90.00 90.00
Sites, in units of the cell vectors:
Mg1 0.000 0.000 0.000
Mg2 0.500 0.500 0.000
Bi1 0.217 0.283 0.500
Bi2 0.283 0.783 0.500
Bi3 0.717 0.217 0.500
Bi4 0.783 0.717 0.500
Se1 0.172 0.328 0.000
Se2 0.328 0.828 0.000
Se3 0.672 0.172 0.000
Se4 0.828 0.672 0.000

Values from the calculation:
- Density: 6.934 g/cm3
- Uncorrected formation energy: -0.313 eV/atom
- Distance to the lowest polymorph of the same formula: 0 meV/atom
- Uncorrected energy: -35.8 eV for the cell shown